LiSb2As: relaxed, GGA-PBE.

The space group is C2/m (No. 12) and the conventional cell measures 12.3534, 3.8036 and 4.3279 Å, with angles of 90.00, 110.42 and 90.00 degrees. The asymmetric unit holds Li at (0.0000, 0.0000, 0.0000), Sb at (0.1904, 0.0000, 0.6899) and As at (0.0000, 0.5000, 0.5000).

Its uncorrected energy is -3.797 eV/atom. Its uncorrected formation energy is -94.8 meV/atom.

---

Te2POs: relaxed, GGA-PBE.

The space group is I-42d (No. 122) and the conventional cell measures 6.6284, 6.6284 and 9.9380 Å, with angles of 90.00, 90.00 and 90.00 degrees. The asymmetric unit holds Te at (0.2222, 0.2500, 0.1250), P at (0.0000, 0.0000, 0.5000) and Os at (0.0000, 0.0000, 0.0000).

The offset from the most stable computed form comes out at 598 meV per atom. Its uncorrected energy is -5.036 eV/atom. Its uncorrected formation energy is 694.4 meV/atom.

---

AlVCuOs: relaxed, GGA-PBE.

The space group is F-43m (No. 216) and the conventional cell measures 5.9967, 5.9967 and 5.9967 Å, with angles of 90.00, 90.00 and 90.00 degrees. The asymmetric unit holds Al at (0.0000, 0.0000, 0.0000), V at (0.0000, 0.0000, 0.5000), Cu at (0.2500, 0.2500, 0.2500) and Os at (0.2500, 0.2500, 0.7500).

The value obtained for the calculated formation energy is -0.25 eV/atom. Its uncorrected energy is -7.296 eV/atom.

---

SrPW: relaxed, GGA-PBE.

The space group is F-43m (No. 216) and the conventional cell measures 6.4036, 6.4036 and 6.4036 Å, with angles of 90.00, 90.00 and 90.00 degrees. The asymmetric unit holds Sr at (0.0000, 0.0000, 0.0000), P at (0.2500, 0.2500, 0.2500) and W at (0.0000, 0.0000, 0.5000).

The value obtained for the calculated formation energy is 0.72 eV/atom. The offset from the most stable computed form comes out at 1117 meV per atom. Its uncorrected energy is -5.961 eV/atom.

---

RbLiSnTe: relaxed, GGA-PBE.

The space group is P4/nmm (No. 129, origin choice 2) and the conventional cell measures 4.3919, 4.3919 and 14.6215 Å, with angles of 90.00, 90.00 and 90.00 degrees. The asymmetric unit holds Rb at (0.2500, 0.2500, 0.2420), Li at (0.2500, 0.7500, 0.0000), Sn at (0.2500, 0.7500, 0.5000) and Te at (0.2500, 0.2500, 0.8833).

Its uncorrected energy is -3.126 eV/atom. Its uncorrected formation energy is -619.7 meV/atom.

---

Ba5SmTl6: relaxed, GGA-PBE.

The space group is C2/m (No. 12) and the conventional cell measures 19.0012, 8.3258 and 5.9741 Å, with angles of 90.00, 108.07 and 90.00 degrees. The asymmetric unit holds Ba at (0.0000, 0.0000, 0.0000), Ba at (0.1597, 0.0000, 0.6595), Ba at (0.1853, 0.5000, 0.6848), Sm at (0.0000, 0.5000, 0.0000), Tl at (0.0000, 0.2931, 0.5000) and Tl at (0.1528, 0.2813, 0.1520).

The value obtained for the calculated formation energy is -0.39 eV/atom. Its uncorrected energy is -2.766 eV/atom.

---

LaTb5Y2Ho: relaxed, GGA-PBE.

The space group is Cmc2_1 (No. 36) and the conventional cell measures 5.6587, 19.8630 and 10.5895 Å, with angles of 90.00, 90.00 and 90.00 degrees. The asymmetric unit holds La at (0.0000, 0.0819, 0.0000), Tb at (0.0000, 0.0200, 0.2852), Tb at (0.0000, 0.1132, 0.5701), Tb at (0.0000, 0.2031, 0.2550), Tb at (0.0000, 0.2180, 0.8604), Tb at (0.0000, 0.4816, 0.5725), Y at (0.0000, 0.3860, 0.8671), Y at (0.0000, 0.3885, 0.2796) and Ho at (0.0000, 0.2988, 0.5587).

The value obtained for the calculated formation energy is 0.16 eV/atom. Its uncorrected energy is -4.907 eV/atom.

---

Rb2Tl12Pd7: relaxed, GGA-PBE.

The space group is P-6 (No. 174) and the conventional cell measures 11.5392, 11.5392 and 4.6295 Å, with angles of 90.00, 90.00 and 120.00 degrees. The asymmetric unit holds Rb at (0.0000, 0.0000, 0.0000), Rb at (0.3333, 0.6667, 0.5000), Tl at (0.0376, 0.2710, 0.5000), Tl at (0.1327, 0.7199, 0.0000), Tl at (0.3807, 0.1948, 0.0000), Tl at (0.5510, 0.4320, 0.5000), Pd at (0.0391, 0.4379, 0.0000), Pd at (0.2653, 0.2408, 0.5000) and Pd at (0.6667, 0.3333, 0.0000).

The value obtained for the calculated formation energy is -0.11 eV/atom. Its uncorrected energy is -3.290 eV/atom.

---

Which value of uncorrected energy does entry 7 give?
-4.907 eV/atom

---

Copy entry 2 word for word.
Te2POs: relaxed, GGA-PBE.

The space group is I-42d (No. 122) and the conventional cell measures 6.6284, 6.6284 and 9.9380 Å, with angles of 90.00, 90.00 and 90.00 degrees. The asymmetric unit holds Te at (0.2222, 0.2500, 0.1250), P at (0.0000, 0.0000, 0.5000) and Os at (0.0000, 0.0000, 0.0000).

The offset from the most stable computed form comes out at 598 meV per atom. Its uncorrected energy is -5.036 eV/atom. Its uncorrected formation energy is 694.4 meV/atom.

---

The lowest uncorrected energy belongs to which entry?
AlVCuOs

---

Among the records above, which one has the lowest uncorrected energy?
AlVCuOs